Entry from the Alexandria database: a geometry-optimized KTiAlTe2 structure (GGA-PBE).

**SG**: P4/mmm, No. 123
**M_tot**: 2.11 μB per formula unit
**ΔE_f (raw)**: 1.186 eV per atom
**Volume**: 185 Å³ per cell

Unit cell a=6.0376 b=5.0783 c=6.0376 alpha=90.00 beta=90.00 gamma=90.00
Closest atoms and distances in Å follow each position.
Element x y z (fractional)
1 Te 0.0000 0.0000 0.5000  2 K 3.02
2 K 0.0000 0.0000 0.0000  2 Ti 2.54
3 Te 0.5000 0.0000 0.0000  2 K 3.02
4 Ti 0.0000 0.5000 0.0000  2 K 2.54
5 Al 0.5000 0.5000 0.5000  8 Te 3.94, 4 Ti 4.27